Record 1
# TbGdScIr | Alexandria via LeMat-Bulk | PBE | optimized geometry
# energy of formation	-235.4	meV/atom
# spin magnetization	1.8559	μB/atom
data_TbGdScIr
_chemical_formula_sum 'Tb4 Gd4 Sc4 Ir4'
_cell_length_a 7.148
_cell_length_b 7.148
_cell_length_c 7.148
_cell_angle_alpha 90.00
_cell_angle_beta 90.00
_cell_angle_gamma 90.00
_symmetry_space_group_name_H-M 'F -4 3 m'
_symmetry_Int_Tables_number 216
_symmetry_space_group_name_Hall 'F -4 2 3'
loop_
_atom_site_label
_atom_site_type_symbol
_atom_site_fract_x
_atom_site_fract_y
_atom_site_fract_z
_atom_site_occupancy
Tb1 Tb 0.000 0.000 0.000 1
Gd1 Gd 0.000 0.000 0.500 1
Sc1 Sc 0.250 0.250 0.750 1
Ir1 Ir 0.250 0.250 0.250 1


Record 2
# Hf4NbC4 | Alexandria via LeMat-Bulk | PBE | optimized geometry
# energy of formation	-791.6	meV/atom
# spin magnetization	0.0001	μB/atom
data_Hf4NbC4
_chemical_formula_sum 'Hf8 Nb2 C8'
_cell_length_a 7.281
_cell_length_b 7.281
_cell_length_c 4.637
_cell_angle_alpha 90.00
_cell_angle_beta 90.00
_cell_angle_gamma 90.00
_symmetry_space_group_name_H-M 'I 4/m'
_symmetry_Int_Tables_number 87
_symmetry_space_group_name_Hall '-I 4'
loop_
_atom_site_label
_atom_site_type_symbol
_atom_site_fract_x
_atom_site_fract_y
_atom_site_fract_z
_atom_site_occupancy
Hf1 Hf 0.108 0.691 0.000 1
Nb1 Nb 0.000 0.000 0.500 1
C1 C 0.097 0.704 0.500 1


Record 3
# Tb2ScIr | Alexandria via LeMat-Bulk | PBE | optimized geometry
# energy of formation	-569.9	meV/atom
# spin magnetization	0.0000	μB/atom
data_Tb2ScIr
_chemical_formula_sum 'Tb8 Sc4 Ir4'
_cell_length_a 7.024
_cell_length_b 9.068
_cell_length_c 6.372
_cell_angle_alpha 90.00
_cell_angle_beta 90.00
_cell_angle_gamma 90.00
_symmetry_space_group_name_H-M 'P n m a'
_symmetry_Int_Tables_number 62
_symmetry_space_group_name_Hall '-P 2ac 2n'
loop_
_atom_site_label
_atom_site_type_symbol
_atom_site_fract_x
_atom_site_fract_y
_atom_site_fract_z
_atom_site_occupancy
Tb1 Tb 0.183 0.060 0.181 1
Sc1 Sc 0.039 0.250 0.629 1
Ir1 Ir 0.112 0.750 0.983 1


Record 4
# Ba2SiCl | Alexandria via LeMat-Bulk | PBE | optimized geometry
# spin magnetization	0.0000	μB/atom
# final energy	-3.80	eV/atom
data_Ba2SiCl
_chemical_formula_sum 'Ba2 Si1 Cl1'
_cell_length_a 3.855
_cell_length_b 3.922
_cell_length_c 8.541
_cell_angle_alpha 90.00
_cell_angle_beta 90.14
_cell_angle_gamma 90.00
_symmetry_space_group_name_H-M 'P 1 2/m 1'
_symmetry_Int_Tables_number 10
_symmetry_space_group_name_Hall '-P 2y'
loop_
_atom_site_label
_atom_site_type_symbol
_atom_site_fract_x
_atom_site_fract_y
_atom_site_fract_z
_atom_site_occupancy
Ba1 Ba 0.002 0.000 0.233 1
Si1 Si 0.500 0.500 0.000 1
Cl1 Cl 0.500 0.500 0.500 1


Record 5
# Yb2Mg | Alexandria via LeMat-Bulk | PBE | optimized geometry
# energy of formation	-110.1	meV/atom
# spin magnetization	0.0026	μB/atom
data_Yb2Mg
_chemical_formula_sum 'Yb8 Mg4'
_cell_length_a 13.230
_cell_length_b 3.786
_cell_length_c 7.880
_cell_angle_alpha 90.00
_cell_angle_beta 106.57
_cell_angle_gamma 90.00
_symmetry_space_group_name_H-M 'C 1 2/m 1'
_symmetry_Int_Tables_number 12
_symmetry_space_group_name_Hall '-C 2y'
loop_
_atom_site_label
_atom_site_type_symbol
_atom_site_fract_x
_atom_site_fract_y
_atom_site_fract_z
_atom_site_occupancy
Yb1 Yb 0.021 0.000 0.244 1
Yb2 Yb 0.179 0.500 0.624 1
Mg1 Mg 0.167 0.500 0.049 1


Record 6
# Ca3IO4 | Alexandria via LeMat-Bulk | PBE | optimized geometry
# spin magnetization	0.0277	μB/atom
# final energy	-5.48	eV/atom
data_Ca3IO4
_chemical_formula_sum 'Ca6 I2 O8'
_cell_length_a 4.966
_cell_length_b 8.108
_cell_length_c 7.177
_cell_angle_alpha 90.00
_cell_angle_beta 90.00
_cell_angle_gamma 90.00
_symmetry_space_group_name_H-M 'P m m n'
_symmetry_Int_Tables_number 59
loop_
_symmetry_equiv_pos_as_xyz
'x,y,z'
'-x,-y,-z'
'-x+1/2,-y+1/2,z'
'x+1/2,y+1/2,-z'
'x+1/2,-y,-z'
'-x+1/2,y,z'
'-x,y+1/2,-z'
'x,-y+1/2,z'
loop_
_atom_site_label
_atom_site_type_symbol
_atom_site_fract_x
_atom_site_fract_y
_atom_site_fract_z
_atom_site_occupancy
Ca1 Ca 0.250 0.017 0.165 1
Ca2 Ca 0.250 0.750 0.627 1
I1 I 0.250 0.250 0.785 1
O1 O 0.250 0.250 0.320 1
O2 O 0.250 0.519 0.827 1
O3 O 0.250 0.750 0.296 1


Record 7
# Tl3Cd2Sn6 | Alexandria via LeMat-Bulk | PBE | optimized geometry
# energy of formation	65.7	meV/atom
# spin magnetization	0.0000	μB/atom
data_Tl3Cd2Sn6
_chemical_formula_sum 'Tl6 Cd4 Sn12'
_cell_length_a 4.508
_cell_length_b 4.508
_cell_length_c 32.343
_cell_angle_alpha 90.00
_cell_angle_beta 90.00
_cell_angle_gamma 90.00
_symmetry_space_group_name_H-M 'I 4/m m m'
_symmetry_Int_Tables_number 139
_symmetry_space_group_name_Hall '-I 4 2'
loop_
_atom_site_label
_atom_site_type_symbol
_atom_site_fract_x
_atom_site_fract_y
_atom_site_fract_z
_atom_site_occupancy
Tl1 Tl 0.000 0.000 0.000 1
Tl2 Tl 0.000 0.000 0.214 1
Cd1 Cd 0.000 0.000 0.457 1
Sn1 Sn 0.000 0.000 0.318 1
Sn2 Sn 0.000 0.500 0.112 1


Record 8
# PrAs2Pd7Pb2 | Alexandria via LeMat-Bulk | PBE | optimized geometry
# energy of formation	-405.6	meV/atom
# spin magnetization	0.0000	μB/atom
data_PrAs2Pd7Pb2
_chemical_formula_sum 'Pr2 As4 Pd14 Pb4'
_cell_length_a 5.835
_cell_length_b 5.828
_cell_length_c 14.550
_cell_angle_alpha 90.00
_cell_angle_beta 96.78
_cell_angle_gamma 90.00
_symmetry_space_group_name_H-M 'C 1 2/m 1'
_symmetry_Int_Tables_number 12
_symmetry_space_group_name_Hall '-C 2y'
loop_
_atom_site_label
_atom_site_type_symbol
_atom_site_fract_x
_atom_site_fract_y
_atom_site_fract_z
_atom_site_occupancy
Pr1 Pr 0.000 0.000 0.000 1
As1 As 0.076 0.500 0.250 1
Pd1 Pd 0.000 0.500 0.000 1
Pd2 Pd 0.110 0.500 0.421 1
Pd3 Pd 0.203 0.250 0.847 1
Pb1 Pb 0.114 0.000 0.393 1


Question: Which formula does entry 7 have?
Answer: Tl3Cd2Sn6